The following is a DFT calculation (PBE) of Pu3O7F after structural relaxation.

Computed properties:
Calculated total energy   -10.018 eV per atom
Formation energy from raw total energies   -2.7842 eV per atom

Cell lengths 7.077, 11.602, 4.107 Å; angles 90.00, 90.00, 90.00 degrees
Space group Cmmm (No. 65)
Asymmetric unit:
Pu 0.000 0.000 0.000 x2
Pu 0.000 0.305 0.000 x4
O 0.000 0.000 0.500 x2
O 0.000 0.305 0.500 x4
O 0.185 0.139 0.000 x8
F 0.000 0.500 0.000 x2

---

The following is a DFT calculation (PBE) of NiAsPbSe2 after structural relaxation.

Computed properties:
Energy above the most stable polymorph in this dataset   1205 meV/atom
Calculated total energy   -2.954 eV per atom
Formation energy from raw total energies   1.2674 eV per atom

Cell lengths 5.465, 5.465, 5.371 Å; angles 90.00, 90.00, 90.00 degrees
Space group P4/mmm (No. 123)
Asymmetric unit:
Ni 0.000 0.000 0.000 x1
As 0.500 0.500 0.000 x1
Pb 0.500 0.500 0.500 x1
Se 0.000 0.500 0.500 x2

---

The following is a DFT calculation (PBE) of Li2AlIn after structural relaxation.

Computed properties:
DFT formation energy   -0.16 eV per atom
Calculated total energy   -2.739 eV per atom

Cell lengths 6.178, 7.350, 3.137 Å; angles 90.00, 90.31, 90.00 degrees
Space group C2/m (No. 12)
Asymmetric unit:
Li 0.250 0.250 0.000 x4
Al 0.000 0.000 0.500 x2
In 0.000 0.500 0.500 x2